# 1
Here is crystalline GdSnPtAu at its relaxed geometry from the Alexandria database. Energies are from PBE-GGA.

Properties
The value obtained for the energy of formation is -0.77 eV per atom. The symmetry is No. 216. For the electronic total energy, the calculation gives -0.2802 hartree per atom.

Cell: 4.9313 4.9313 4.9313 Å, 60.00 60.00 60.00°
Atoms (fractional coordinates):
1 Sn 0.7500 0.7500 0.7500
2 Au 0.5000 0.5000 0.5000
3 Pt 0.0000 0.0000 0.0000
4 Gd 0.2500 0.2500 0.2500



# 2
Here is crystalline CdReBr3 at its relaxed geometry from the Alexandria database. Energies are from PBE-GGA.

Properties
The symmetry is No. 221. Its raw formation energy is 0.366 eV/atom. The calculation puts the energy above the most stable polymorph in this dataset at 0 meV/atom. For the electronic total energy, the calculation gives -0.1216 hartree per atom.

Cell: 5.1900 5.1900 5.1900 Å, 90.00 90.00 90.00°
Atoms (fractional coordinates):
1 Cd 0.5000 0.5000 0.5000
2 Re 0.0000 0.0000 0.0000
3 Br 0.5000 0.0000 0.0000
4 Br 0.0000 0.5000 0.0000
5 Br 0.0000 0.0000 0.5000



# 3
Here is crystalline Sm3P2Se3 at its relaxed geometry from the Alexandria database. Energies are from PBE-GGA.

Properties
The symmetry is No. 193. Its raw formation energy is -1.366 eV/atom. For the electronic total energy, the calculation gives -0.2130 hartree per atom.

Cell: 5.5830 8.8289 8.8289 Å, 120.00 90.00 90.00°
Atoms (fractional coordinates):
1 Se 0.2500 0.0000 0.7295
2 Se 0.7500 0.2705 0.0000
3 Se 0.7500 0.7295 0.7295
4 Se 0.2500 0.2705 0.2705
5 Se 0.2500 0.7295 0.0000
6 Se 0.7500 0.0000 0.2705
7 P 0.0000 0.3333 0.6667
8 P 0.0000 0.6667 0.3333
9 P 0.5000 0.3333 0.6667
10 P 0.5000 0.6667 0.3333
11 Sm 0.2500 0.6245 0.6245
12 Sm 0.2500 0.0000 0.3755
13 Sm 0.7500 0.0000 0.6245
14 Sm 0.2500 0.3755 0.0000
15 Sm 0.7500 0.3755 0.3755
16 Sm 0.7500 0.6245 0.0000



# 4
Here is crystalline HfSc2Al at its relaxed geometry from the Alexandria database. Energies are from PBE-GGA.

Properties
The value obtained for the energy of formation is -0.22 eV per atom. The symmetry is No. 123. For the electronic total energy, the calculation gives -0.2502 hartree per atom.

Cell: 3.2182 3.2182 8.2447 Å, 90.00 90.00 90.00°
Atoms (fractional coordinates):
1 Al 0.5000 0.5000 0.0000
2 Hf 0.5000 0.5000 0.5000
3 Sc 0.0000 0.0000 0.2326
4 Sc 0.0000 0.0000 0.7674



# 5
Here is crystalline LiZn6Au6 at its relaxed geometry from the Alexandria database. Energies are from PBE-GGA.

Properties
The value obtained for the energy of formation is -0.24 eV per atom. The symmetry is No. 191. The calculation puts the energy above the most stable polymorph in this dataset at 0 meV/atom. For the electronic total energy, the calculation gives -0.0915 hartree per atom.

Cell: 5.2633 5.2632 9.0733 Å, 90.00 90.00 120.00°
Atoms (fractional coordinates):
1 Au 0.0000 0.0000 0.6629
2 Au 0.0000 0.0000 0.3371
3 Au 0.3333 0.6667 0.5000
4 Au 0.3333 0.6667 0.0000
5 Au 0.6667 0.3333 0.0000
6 Au 0.6667 0.3333 0.5000
7 Zn 0.5000 0.0000 0.2456
8 Zn 0.5000 0.5000 0.2456
9 Zn 0.5000 0.0000 0.7544
10 Zn 0.0000 0.5000 0.7544
11 Zn 0.0000 0.5000 0.2456
12 Zn 0.5000 0.5000 0.7544
13 Li 0.0000 0.0000 0.0000



# 6
Here is crystalline HRhS2 at its relaxed geometry from the Alexandria database. Energies are from PBE-GGA.

Properties
The symmetry is No. 166. The calculation puts the energy above the most stable polymorph in this dataset at 929 meV/atom. For the electronic total energy, the calculation gives -0.1526 hartree per atom.

Cell: 7.3641 7.3641 7.3641 Å, 22.12 22.12 22.12°
Atoms (fractional coordinates):
1 S 0.1040 0.1040 0.1040
2 S 0.8960 0.8960 0.8960
3 H 0.5000 0.5000 0.5000
4 Rh 0.0000 0.0000 0.0000



# 7
Here is crystalline Pm2SmPu at its relaxed geometry from the Alexandria database. Energies are from PBE-GGA.

Properties
The value obtained for the energy of formation is 0.27 eV per atom. The symmetry is No. 166. The calculation puts the energy above the most stable polymorph in this dataset at 155 meV/atom. For the electronic total energy, the calculation gives -0.2525 hartree per atom.

Cell: 3.5103 3.5103 12.6357 Å, 82.02 82.02 60.00°
Atoms (fractional coordinates):
1 Sm 0.5000 0.5000 0.5000
2 Pm 0.9124 0.9124 0.2629
3 Pm 0.0876 0.0876 0.7371
4 Pu 0.0000 0.0000 0.0000



# 8
Here is crystalline CrGaCu2Se4 at its relaxed geometry from the Alexandria database. Energies are from PBE-GGA.

Properties
The symmetry is No. 121. Its raw formation energy is -0.345 eV/atom. For the electronic total energy, the calculation gives -0.1725 hartree per atom.

Cell: 5.6747 5.6747 6.8545 Å, 114.44 114.44 90.02°
Atoms (fractional coordinates):
1 Se 0.3769 0.8794 0.2562
2 Se 0.8794 0.3769 0.2562
3 Se 0.1209 0.1209 0.7437
4 Se 0.6228 0.6228 0.7437
5 Ga 0.5003 0.5003 0.0005
6 Cu 0.2501 0.7501 0.5002
7 Cu 0.7501 0.2501 0.5002
8 Cr 0.9998 0.9998 0.9996



# 9
Here is crystalline CuSbS2I at its relaxed geometry from the Alexandria database. Energies are from PBE-GGA.

Properties
The symmetry is No. 11. Its raw formation energy is -0.158 eV/atom. For the electronic total energy, the calculation gives -0.1383 hartree per atom.

Cell: 5.0178 8.0960 7.6256 Å, 116.06 90.00 90.00°
Atoms (fractional coordinates):
1 Cu 0.7500 0.4055 0.5718
2 Cu 0.2500 0.5945 0.4282
3 S 0.2500 0.4220 0.6173
4 S 0.7500 0.5780 0.3827
5 S 0.7500 0.5593 0.8950
6 S 0.2500 0.4407 0.1050
7 I 0.2500 0.9334 0.7230
8 I 0.7500 0.0666 0.2770
9 Sb 0.7500 0.3114 0.0483
10 Sb 0.2500 0.6886 0.9517



# 10
Here is crystalline YLuSnIr at its relaxed geometry from the Alexandria database. Energies are from PBE-GGA.

Properties
The value obtained for the energy of formation is -0.63 eV per atom. The symmetry is No. 216. For the electronic total energy, the calculation gives -0.2421 hartree per atom.

Cell: 5.0390 5.0390 5.0390 Å, 60.00 60.00 60.00°
Atoms (fractional coordinates):
1 Ir 0.7500 0.7500 0.7500
2 Y 0.0000 0.0000 0.0000
3 Lu 0.5000 0.5000 0.5000
4 Sn 0.2500 0.2500 0.2500



# 11
Here is crystalline LiPmPuN3 at its relaxed geometry from the Alexandria database. Energies are from PBE-GGA.

Properties
The symmetry is No. 11. Its raw formation energy is -0.989 eV/atom. For the electronic total energy, the calculation gives -0.3179 hartree per atom.

Cell: 3.4813 7.1097 6.9309 Å, 104.13 90.00 90.00°
Atoms (fractional coordinates):
1 Li 0.7500 0.9256 0.4161
2 Li 0.2500 0.0744 0.5839
3 N 0.2500 0.1164 0.8641
4 N 0.7500 0.4184 0.1325
5 N 0.7500 0.2093 0.5279
6 N 0.2500 0.7907 0.4721
7 N 0.7500 0.8836 0.1359
8 N 0.2500 0.5816 0.8675
9 Pm 0.7500 0.8153 0.7793
10 Pm 0.2500 0.1847 0.2207
11 Pu 0.2500 0.6762 0.1736
12 Pu 0.7500 0.3238 0.8264



# 12
Here is crystalline SrBeRe at its relaxed geometry from the Alexandria database. Energies are from PBE-GGA.

Properties
The value obtained for the energy of formation is 0.89 eV per atom. The symmetry is No. 156. The calculation puts the energy above the most stable polymorph in this dataset at 340 meV/atom. For the electronic total energy, the calculation gives -0.1859 hartree per atom.

Cell: 3.9108 3.9108 4.8606 Å, 90.00 90.00 120.00°
Atoms (fractional coordinates):
1 Be 0.0000 0.0000 0.1288
2 Sr 0.6667 0.3333 0.6778
3 Re 0.3333 0.6667 0.1933



# 13
Here is crystalline Y2ZnGaPt6 at its relaxed geometry from the Alexandria database. Energies are from PBE-GGA.

Properties
The value obtained for the energy of formation is -0.76 eV per atom. The symmetry is No. 12. For the electronic total energy, the calculation gives -0.2244 hartree per atom.

Cell: 8.0087 5.6565 7.9989 Å, 69.38 41.44 90.07°
Atoms (fractional coordinates):
1 Pt 0.7490 0.7460 0.0041
2 Pt 0.7460 0.7491 0.5008
3 Pt 0.2510 0.2540 0.9959
4 Pt 0.2540 0.2509 0.4992
5 Pt 0.7492 0.2509 0.0046
6 Pt 0.2508 0.7491 0.9954
7 Y 0.2040 0.7961 0.4081
8 Y 0.7960 0.2039 0.5919
9 Zn 0.5000 0.5000 0.0000
10 Ga 0.0000 0.0000 0.0000



# 14
Here is crystalline NdHfCu2 at its relaxed geometry from the Alexandria database. Energies are from PBE-GGA.

Properties
The value obtained for the energy of formation is -0.04 eV per atom. The symmetry is No. 166. The calculation puts the energy above the most stable polymorph in this dataset at 67 meV/atom. For the electronic total energy, the calculation gives -0.2119 hartree per atom.

Cell: 4.5009 4.5009 5.5425 Å, 66.04 66.04 60.00°
Atoms (fractional coordinates):
1 Cu 0.2021 0.2021 0.3938
2 Cu 0.7979 0.7979 0.6062
3 Nd 0.0000 0.0000 0.0000
4 Hf 0.5000 0.5000 0.5000



# 15
Here is crystalline CrCuBr at its relaxed geometry from the Alexandria database. Energies are from PBE-GGA.

Properties
The symmetry is No. 156. Its raw formation energy is 0.349 eV/atom. The calculation puts the energy above the most stable polymorph in this dataset at 0 meV/atom. For the electronic total energy, the calculation gives -0.1757 hartree per atom.

Cell: 3.4424 3.4424 5.6634 Å, 90.00 90.00 120.00°
Atoms (fractional coordinates):
1 Br 0.0000 0.0000 0.0260
2 Cr 0.6667 0.3333 0.3401
3 Cu 0.3333 0.6667 0.6340



# 16
Here is crystalline BaSc2Ta at its relaxed geometry from the Alexandria database. Energies are from PBE-GGA.

Properties
The value obtained for the energy of formation is 0.69 eV per atom. The symmetry is No. 44. The calculation puts the energy above the most stable polymorph in this dataset at 347 meV/atom. For the electronic total energy, the calculation gives -0.2175 hartree per atom.

Cell: 6.6640 6.6640 6.6640 Å, 151.35 130.86 57.88°
Atoms (fractional coordinates):
1 Ta 0.5224 0.5224 0.0000
2 Sc 0.7250 0.2250 0.5000
3 Sc 0.9851 0.9851 0.0000
4 Ba 0.2676 0.7676 0.5000



# 17
Here is crystalline Th2BePd9 at its relaxed geometry from the Alexandria database. Energies are from PBE-GGA.

Properties
The value obtained for the energy of formation is -0.69 eV per atom. The symmetry is No. 123. For the electronic total energy, the calculation gives -0.2255 hartree per atom.

Cell: 4.1966 4.1966 11.7156 Å, 90.00 90.00 90.00°
Atoms (fractional coordinates):
1 Pd 0.0000 0.5000 0.1428
2 Pd 0.0000 0.5000 0.5000
3 Pd 0.5000 0.0000 0.1428
4 Pd 0.5000 0.5000 0.6769
5 Pd 0.5000 0.0000 0.8572
6 Pd 0.5000 0.0000 0.5000
7 Pd 0.5000 0.5000 0.0000
8 Pd 0.0000 0.5000 0.8572
9 Pd 0.5000 0.5000 0.3231
10 Th 0.0000 0.0000 0.3153
11 Th 0.0000 0.0000 0.6847
12 Be 0.0000 0.0000 0.0000



# 18
Here is crystalline Ca3Tl3Ag2 at its relaxed geometry from the Alexandria database. Energies are from PBE-GGA.

Properties
The value obtained for the energy of formation is -0.30 eV per atom. The symmetry is No. 63. The calculation puts the energy above the most stable polymorph in this dataset at 12 meV/atom. For the electronic total energy, the calculation gives -0.0974 hartree per atom.

Cell: 4.5675 6.2398 16.7503 Å, 90.00 90.00 111.47°
Atoms (fractional coordinates):
1 Ca 0.6645 0.3290 0.2500
2 Ca 0.3355 0.6710 0.7500
3 Ca 0.0683 0.1366 0.8910
4 Ca 0.9317 0.8634 0.1090
5 Ca 0.9317 0.8634 0.3910
6 Ca 0.0683 0.1366 0.6090
7 Tl 0.6291 0.2582 0.4614
8 Tl 0.3871 0.7743 0.2500
9 Tl 0.3709 0.7418 0.5386
10 Tl 0.6291 0.2582 0.0386
11 Tl 0.3709 0.7418 0.9614
12 Tl 0.6129 0.2257 0.7500
13 Ag 0.2268 0.4536 0.3840
14 Ag 0.7732 0.5464 0.6160
15 Ag 0.7732 0.5464 0.8840
16 Ag 0.2268 0.4536 0.1160



# 19
Here is crystalline Sc5Os2 at its relaxed geometry from the Alexandria database. Energies are from PBE-GGA.

Properties
The value obtained for the energy of formation is -0.33 eV per atom. The symmetry is No. 72. For the electronic total energy, the calculation gives -0.2962 hartree per atom.

Cell: 6.1419 6.6366 8.1932 Å, 113.89 112.01 90.00°
Atoms (fractional coordinates):
1 Sc 0.5850 0.9392 0.1701
2 Sc 0.9150 0.7691 0.8299
3 Sc 0.4150 0.0608 0.8299
4 Sc 0.9812 0.7312 0.4625
5 Sc 0.4812 0.7312 0.4625
6 Sc 0.0188 0.2688 0.5375
7 Sc 0.0850 0.2309 0.1701
8 Sc 0.5188 0.2688 0.5375
9 Sc 0.7500 0.5000 0.0000
10 Sc 0.2500 0.5000 0.0000
11 Os 0.6246 0.3655 0.2492
12 Os 0.1246 0.8837 0.2492
13 Os 0.3754 0.6345 0.7508
14 Os 0.8754 0.1163 0.7508



# 20
Here is crystalline Al3CuNi3 at its relaxed geometry from the Alexandria database. Energies are from PBE-GGA.

Properties
The value obtained for the energy of formation is -0.39 eV per atom. The symmetry is No. 176. The calculation puts the energy above the most stable polymorph in this dataset at 0 meV/atom. For the electronic total energy, the calculation gives -0.1858 hartree per atom.

Cell: 6.8931 6.8931 4.2171 Å, 90.00 90.00 120.00°
Atoms (fractional coordinates):
1 Cu 0.3333 0.6667 0.7500
2 Cu 0.6667 0.3333 0.2500
3 Al 0.3597 0.9156 0.2500
4 Al 0.5559 0.6403 0.2500
5 Al 0.9156 0.5559 0.7500
6 Al 0.6403 0.0844 0.7500
7 Al 0.4441 0.3597 0.7500
8 Al 0.0844 0.4441 0.2500
9 Ni 0.0424 0.2390 0.7500
10 Ni 0.7610 0.8034 0.7500
11 Ni 0.9576 0.7610 0.2500
12 Ni 0.8034 0.0424 0.2500
13 Ni 0.2390 0.1966 0.2500
14 Ni 0.1966 0.9576 0.7500



# 21
Here is crystalline In2SiBr at its relaxed geometry from the Alexandria database. Energies are from PBE-GGA.

Properties
The symmetry is No. 160. Its raw formation energy is -0.014 eV/atom. The calculation puts the energy above the most stable polymorph in this dataset at 33 meV/atom. For the electronic total energy, the calculation gives -0.1160 hartree per atom.

Cell: 7.8143 7.8143 7.8143 Å, 30.55 30.55 30.55°
Atoms (fractional coordinates):
1 In 0.0222 0.0222 0.0222
2 In 0.8165 0.8165 0.8165
3 Si 0.4175 0.4175 0.4175
4 Br 0.2438 0.2438 0.2438



# 22
Here is crystalline LaYOs at its relaxed geometry from the Alexandria database. Energies are from PBE-GGA.

Properties
The value obtained for the energy of formation is -0.13 eV per atom. The symmetry is No. 107. The calculation puts the energy above the most stable polymorph in this dataset at 4 meV/atom. For the electronic total energy, the calculation gives -0.2818 hartree per atom.

Cell: 7.3127 7.3126 3.4619 Å, 76.31 76.31 27.38°
Atoms (fractional coordinates):
1 Os 0.3295 0.3295 0.6705
2 Y 0.7116 0.7116 0.2884
3 La 0.9589 0.9589 0.0411



# 23
Here is crystalline VSi2RuI at its relaxed geometry from the Alexandria database. Energies are from PBE-GGA.

Properties
The symmetry is No. 123. Its raw formation energy is 0.893 eV/atom. For the electronic total energy, the calculation gives -0.1935 hartree per atom.

Cell: 4.6393 4.7080 4.6393 Å, 90.00 90.00 90.00°
Atoms (fractional coordinates):
1 Ru 0.0000 0.5000 0.0000
2 Si 0.0000 0.0000 0.5000
3 Si 0.5000 0.0000 0.0000
4 V 0.0000 0.0000 0.0000
5 I 0.5000 0.5000 0.5000



# 24
Here is crystalline TbTm4CuS8 at its relaxed geometry from the Alexandria database. Energies are from PBE-GGA.

Properties
The symmetry is No. 160. Its raw formation energy is -1.817 eV/atom. For the electronic total energy, the calculation gives -0.2233 hartree per atom.

Cell: 7.8275 7.8275 7.8656 Å, 60.16 60.16 60.00°
Atoms (fractional coordinates):
1 S 0.2250 0.7558 0.2633
2 S 0.2503 0.7553 0.7441
3 S 0.2503 0.2503 0.7441
4 S 0.7592 0.7592 0.7224
5 S 0.2475 0.2475 0.2574
6 S 0.7558 0.7558 0.2633
7 S 0.7558 0.2250 0.2633
8 S 0.7553 0.2503 0.7441
9 Tm 0.6258 0.6258 0.1227
10 Tm 0.4854 0.0050 0.5047
11 Tm 0.0050 0.0050 0.5047
12 Tm 0.0050 0.4854 0.5047
13 Tb 0.0047 0.0047 0.9858
14 Cu 0.3748 0.3748 0.8756